CeSc3Ru3 | the Alexandria database | GGA-PBE | relaxed; energy of formation from the pure elements = -0.520 eV per atom; size of the total moment = 0.00 μB/cell; N(E_F) = 0.529 states/eV/atom
1.0
4.544 2.623 1.890
-4.544 2.623 1.890
0.000 -5.247 1.890
Ce Sc Ru
1 3 3
direct
0.000 0.000 0.000
0.186 0.597 0.597
0.597 0.186 0.597
0.597 0.597 0.186
0.099 0.099 0.613
0.099 0.613 0.099
0.613 0.099 0.099